The following is a PBE calculation of a geometry-optimized Ac3Y3MgSe8 structure, from the Alexandria database.

Values from the calculation:
formation energy (no corrections) = -1783 meV per atom
symmetry = R-3m, No. 166

a b c (Å): 8.3682 8.3684 8.6110
angles (deg): 119.07 90.00 120.00
Element x y z (fractional)
Ac 0.0000 0.0000 0.0000
Ac 0.0000 0.5000 0.0000
Ac 0.5000 0.5000 0.0000
Y 0.5000 0.0000 0.5000
Y 0.5000 0.5000 0.5000
Y 0.0000 0.5000 0.5000
Mg 0.0000 0.0000 0.5000
Se 0.2591 0.5181 0.2772
Se 0.7409 0.4819 0.7228
Se 0.7629 0.5259 0.2798
Se 0.2371 0.4741 0.7202
Se 0.7629 0.0168 0.2797
Se 0.2371 0.9832 0.7203
Se 0.2539 0.0168 0.2797
Se 0.7461 0.9832 0.7203

The following is a PBE calculation of a geometry-optimized Y4SbMo structure, from the Alexandria database.

Values from the calculation:
formation energy (no corrections) = 643 meV per atom
symmetry = F-43m, No. 216

a b c (Å): 6.1076 6.1076 6.1076
angles (deg): 60.00 60.00 60.00
Element x y z (fractional)
Y 0.8698 0.3767 0.3767
Y 0.3767 0.3767 0.8698
Y 0.3767 0.8698 0.3767
Y 0.3767 0.3767 0.3767
Sb 0.0000 0.0000 0.0000
Mo 0.7500 0.7500 0.7500

The following is a PBE calculation of a geometry-optimized LaTl2Co structure, from the Alexandria database.

Values from the calculation:
symmetry = Immm, No. 71

a b c (Å): 6.2263 6.2263 6.2263
angles (deg): 147.88 130.46 60.28
Element x y z (fractional)
Co 0.7500 0.2500 0.5000
La 0.2500 0.7500 0.5000
Tl 0.9561 0.9561 0.0000
Tl 0.5439 0.5439 0.0000

The following is a PBE calculation of a geometry-optimized CuSi3Ni5 structure, from the Alexandria database.

Values from the calculation:
formation energy (no corrections) = -446 meV per atom
symmetry = P6_3/mcm, No. 193

a b c (Å): 4.9715 6.8336 6.8331
angles (deg): 120.00 90.00 90.00
Element x y z (fractional)
Cu 0.0000 0.0000 0.0000
Cu 0.5000 0.0000 0.0000
Si 0.7500 0.3562 0.3562
Si 0.7500 0.0000 0.6438
Si 0.7500 0.6437 0.0000
Si 0.2500 0.6438 0.6438
Si 0.2500 0.0000 0.3562
Si 0.2500 0.3563 0.0000
Ni 0.0000 0.6667 0.3333
Ni 0.5000 0.3333 0.6667
Ni 0.0000 0.3333 0.6667
Ni 0.5000 0.6667 0.3333
Ni 0.7500 0.6856 0.6856
Ni 0.7500 0.0000 0.3144
Ni 0.7500 0.3144 0.0000
Ni 0.2500 0.3144 0.3144
Ni 0.2500 0.0000 0.6856
Ni 0.2500 0.6856 0.0000

The following is a PBE calculation of a geometry-optimized La2Au structure, from the Alexandria database.

Values from the calculation:
symmetry = Cm, No. 8

a b c (Å): 6.8373 6.8373 14.9038
angles (deg): 146.62 146.62 34.72
Element x y z (fractional)
Au 0.0384 0.0384 0.0610
Au 0.3058 0.3058 0.5619
La 0.1692 0.1692 0.7862
La 0.5511 0.5511 0.4837
La 0.6275 0.6275 0.2879
La 0.6414 0.6414 0.9860

The following is a PBE calculation of a geometry-optimized Te3RuI structure, from the Alexandria database.

Values from the calculation:
ΔE to the lowest computed polymorph = 1.230 eV/atom
formation energy (no corrections) = 1629 meV per atom
symmetry = Pm-3m, No. 221

a b c (Å): 5.7862 5.7862 5.7862
angles (deg): 90.00 90.00 90.00
Element x y z (fractional)
I 0.0000 0.0000 0.0000
Ru 0.5000 0.5000 0.5000
Te 0.0000 0.5000 0.0000
Te 0.0000 0.0000 0.5000
Te 0.5000 0.0000 0.0000

| no. | magnetization (μB/f.u.) | E (eV per atom) |
| --- | --- | --- |
| 1 | 0.000 | -5.8618 |
| 2 | 0.549 | -6.1583 |
| 3 | 0.784 | -4.1277 |
| 4 | 0.000 | -5.9204 |
| 5 | 0.000 | -4.9168 |
| 6 | 3.260 | -2.4212 |